The following is a PBE calculation of a relaxed structure of TbPmCuIr, from Alexandria.

Unit cell a=4.952 b=4.952 c=4.952 alpha=60.00 beta=60.00 gamma=60.00
Atoms (fractional coordinates):
Cu 0.750 0.750 0.750
Tb 0.000 0.000 0.000
Pm 0.500 0.500 0.500
Ir 0.250 0.250 0.250

Summary:
- space-group type = F-43m (216)
- density of states at the Fermi level (states/eV/cell) = 2.78
- distance to the lowest polymorph of the same formula (meV/atom) = 25.9

=====

The following is a PBE calculation of a relaxed structure of PmThCuIr, from Alexandria.

Unit cell a=3.957 b=4.114 c=6.153 alpha=90.00 beta=108.76 gamma=90.00
Atoms (fractional coordinates):
Pm 0.145 0.000 0.290
Ir 0.409 0.000 0.818
Th 0.872 0.500 0.744
Cu 0.574 0.500 0.148

Summary:
- space-group type = Amm2 (38)
- density of states at the Fermi level (states/eV/cell) = 3.05
- distance to the lowest polymorph of the same formula (meV/atom) = 0.0

=====

The following is a PBE calculation of a relaxed structure of PmThCuIr, from Alexandria.

Unit cell a=5.039 b=5.039 c=5.039 alpha=60.00 beta=60.00 gamma=60.00
Atoms (fractional coordinates):
Th 0.000 0.000 0.000
Cu 0.250 0.250 0.250
Ir 0.750 0.750 0.750
Pm 0.500 0.500 0.500

Summary:
- space-group type = F-43m (216)
- density of states at the Fermi level (states/eV/cell) = 3.34
- distance to the lowest polymorph of the same formula (meV/atom) = 144.2

=====

The following is a PBE calculation of a relaxed structure of PmTiCuIr, from Alexandria.

Unit cell a=4.717 b=4.717 c=4.717 alpha=60.00 beta=60.00 gamma=60.00
Atoms (fractional coordinates):
Ir 0.750 0.750 0.750
Pm 0.000 0.000 0.000
Ti 0.500 0.500 0.500
Cu 0.250 0.250 0.250

Summary:
- calculated total energy (eV/atom) = -6.6392
- space-group type = F-43m (216)
- density of states at the Fermi level (states/eV/cell) = 4.43

=====

The following is a PBE calculation of a relaxed structure of PmZn3CuIr, from Alexandria.

Unit cell a=5.475 b=6.032 c=7.061 alpha=115.29 beta=90.00 gamma=90.00
Atoms (fractional coordinates):
Cu 0.750 0.067 0.134
Cu 0.250 0.933 0.866
Ir 0.250 0.344 0.689
Ir 0.750 0.656 0.311
Zn 0.500 0.704 0.000
Zn 0.000 0.704 0.000
Zn 0.250 0.140 0.280
Zn 0.500 0.296 0.000
Zn 0.000 0.296 0.000
Zn 0.750 0.860 0.720
Pm 0.750 0.284 0.568
Pm 0.250 0.716 0.432

Summary:
- calculated total energy (eV/atom) = -3.7828
- space-group type = Cmcm (63)
- density of states at the Fermi level (states/eV/cell) = 6.18

=====

The following is a PBE calculation of a relaxed structure of PmZnCuIr, from Alexandria.

Unit cell a=4.688 b=4.688 c=4.688 alpha=60.00 beta=60.00 gamma=60.00
Atoms (fractional coordinates):
Ir 0.750 0.750 0.750
Zn 0.500 0.500 0.500
Cu 0.250 0.250 0.250
Pm 0.000 0.000 0.000

Summary:
- calculated total energy (eV/atom) = -4.9481
- space-group type = F-43m (216)
- density of states at the Fermi level (states/eV/cell) = 1.86

=====

The following is a PBE calculation of a relaxed structure of PmZrCuIr, from Alexandria.

Unit cell a=4.833 b=4.833 c=4.833 alpha=60.00 beta=60.00 gamma=60.00
Atoms (fractional coordinates):
Cu 0.250 0.250 0.250
Zr 0.500 0.500 0.500
Pm 0.000 0.000 0.000
Ir 0.750 0.750 0.750

Summary:
- calculated total energy (eV/atom) = -6.9361
- space-group type = F-43m (216)
- density of states at the Fermi level (states/eV/cell) = 3.96

=====

The following is a PBE calculation of a relaxed structure of Pr2CuIr2, from Alexandria.

Unit cell a=5.594 b=5.691 c=8.092 alpha=103.63 beta=90.00 gamma=119.44
Atoms (fractional coordinates):
Cu 0.863 0.000 0.250
Cu 0.137 0.000 0.750
Ir 0.991 0.266 0.013
Ir 0.725 0.734 0.487
Ir 0.009 0.734 0.987
Ir 0.275 0.266 0.513
Pr 0.502 0.295 0.150
Pr 0.207 0.705 0.350
Pr 0.498 0.705 0.850
Pr 0.793 0.295 0.650

Summary:
- space-group type = C2/c (15)
- density of states at the Fermi level (states/eV/cell) = 5.58
- distance to the lowest polymorph of the same formula (meV/atom) = 18.0

=====

The following is a PBE calculation of a relaxed structure of Pr8CuIr2, from Alexandria.

Unit cell a=6.477 b=7.658 c=7.658 alpha=110.53 beta=100.06 gamma=100.06
Atoms (fractional coordinates):
Pr 0.783 0.648 0.648
Pr 0.602 0.078 0.347
Pr 0.976 0.208 0.785
Pr 0.351 0.928 0.652
Pr 0.602 0.347 0.078
Pr 0.976 0.785 0.208
Pr 0.351 0.652 0.928
Pr 0.189 0.368 0.368
Ir 0.490 0.688 0.321
Ir 0.490 0.321 0.688
Cu 0.188 0.011 0.011

Summary:
- calculated total energy (eV/atom) = -5.6659
- space-group type = Cm (8)
- density of states at the Fermi level (states/eV/cell) = 11.85

=====

The following is a PBE calculation of a relaxed structure of Pr3Cu2Ir7, from Alexandria.

Unit cell a=5.411 b=5.411 c=9.122 alpha=72.75 beta=72.75 gamma=60.00
Atoms (fractional coordinates):
Pr 0.859 0.859 0.422
Pr 0.141 0.141 0.578
Pr 0.000 0.000 0.000
Cu 0.666 0.666 0.002
Cu 0.334 0.334 0.998
Ir 0.417 0.417 0.243
Ir 0.077 0.583 0.757
Ir 0.583 0.583 0.757
Ir 0.923 0.417 0.243
Ir 0.500 0.500 0.500
Ir 0.417 0.923 0.243
Ir 0.583 0.077 0.757

Summary:
- calculated total energy (eV/atom) = -7.5453
- space-group type = R-3m (166)
- density of states at the Fermi level (states/eV/cell) = 9.67

=====

The following is a PBE calculation of a relaxed structure of Pr3CuIr2, from Alexandria.

Unit cell a=4.206 b=11.759 c=11.818 alpha=90.00 beta=90.00 gamma=90.00
Atoms (fractional coordinates):
Pr 0.250 0.124 0.555
Pr 0.750 0.624 0.945
Pr 0.750 0.188 0.298
Pr 0.250 0.812 0.702
Pr 0.750 0.563 0.621
Pr 0.750 0.876 0.445
Pr 0.750 0.312 0.798
Pr 0.250 0.063 0.879
Pr 0.250 0.437 0.379
Pr 0.750 0.937 0.121
Pr 0.250 0.688 0.202
Pr 0.250 0.376 0.055
Ir 0.250 0.488 0.819
Ir 0.750 0.183 0.019
Ir 0.250 0.683 0.481
Ir 0.750 0.512 0.181
Ir 0.250 0.817 0.981
Ir 0.750 0.317 0.519
Ir 0.250 0.012 0.319
Ir 0.750 0.988 0.681
Cu 0.250 0.375 0.629
Cu 0.750 0.875 0.871
Cu 0.750 0.625 0.371
Cu 0.250 0.125 0.129

Summary:
- space-group type = Pnma (62)
- density of states at the Fermi level (states/eV/cell) = 10.34
- distance to the lowest polymorph of the same formula (meV/atom) = 0.0

=====

The following is a PBE calculation of a relaxed structure of Pr4CuIr3, from Alexandria.

Unit cell a=4.043 b=4.374 c=10.897 alpha=90.00 beta=90.00 gamma=90.00
Atoms (fractional coordinates):
Pr 0.500 0.500 0.366
Pr 0.000 0.000 0.141
Pr 0.500 0.000 0.643
Pr 0.000 0.500 0.854
Ir 0.000 0.500 0.583
Ir 0.500 0.000 0.932
Ir 0.000 0.000 0.414
Cu 0.500 0.500 0.068

Summary:
- calculated total energy (eV/atom) = -6.7442
- space-group type = Pmm2 (25)
- density of states at the Fermi level (states/eV/cell) = 4.69

=====

The following is a PBE calculation of a relaxed structure of Pr4CuIr2, from Alexandria.

Unit cell a=7.799 b=7.800 c=7.808 alpha=109.28 beta=109.28 gamma=109.78
Atoms (fractional coordinates):
Pr 0.491 0.614 0.748
Pr 0.863 0.241 0.248
Pr 0.385 0.135 0.376
Pr 0.760 0.009 0.624
Pr 0.993 0.615 0.751
Pr 0.259 0.510 0.124
Pr 0.385 0.135 0.876
Pr 0.865 0.743 0.251
Ir 0.492 0.874 0.116
Ir 0.626 0.508 0.383
Ir 0.125 0.242 0.616
Ir 0.758 0.376 0.884
Cu 0.249 0.750 0.500
Cu 0.000 0.999 0.000

Summary:
- calculated total energy (eV/atom) = -6.2726
- space-group type = Cc (9)
- density of states at the Fermi level (states/eV/cell) = 10.38

=====

The following is a PBE calculation of a relaxed structure of Pr3CuIr2, from Alexandria.

Unit cell a=5.898 b=8.427 c=7.280 alpha=106.81 beta=113.90 gamma=90.00
Atoms (fractional coordinates):
Ir 0.658 0.080 0.319
Ir 0.661 0.580 0.319
Ir 0.342 0.920 0.681
Ir 0.339 0.420 0.681
Pr 0.819 0.909 0.636
Pr 0.183 0.591 0.364
Pr 0.181 0.091 0.364
Pr 0.508 0.250 0.000
Pr 0.492 0.750 0.000
Pr 0.817 0.409 0.636
Cu 0.009 0.250 0.000
Cu 0.991 0.750 0.000

Summary:
- space-group type = C2/c (15)
- density of states at the Fermi level (states/eV/cell) = 6.02
- distance to the lowest polymorph of the same formula (meV/atom) = 183.4

=====

The following is a PBE calculation of a relaxed structure of Pr2CuIr2, from Alexandria.

Unit cell a=4.291 b=5.623 c=5.623 alpha=62.19 beta=67.57 gamma=67.57
Atoms (fractional coordinates):
Pr 0.301 0.199 0.699
Pr 0.699 0.801 0.301
Ir 0.000 0.242 0.258
Ir 0.000 0.758 0.742
Cu 0.500 0.500 0.000

Summary:
- space-group type = Immm (71)
- density of states at the Fermi level (states/eV/cell) = 3.13
- distance to the lowest polymorph of the same formula (meV/atom) = 0.0

=====

The following is a PBE calculation of a relaxed structure of Pr6Cu2Ir, from Alexandria.

Unit cell a=6.805 b=7.537 c=10.626 alpha=90.00 beta=92.57 gamma=90.00
Atoms (fractional coordinates):
Ir 0.000 0.000 0.500
Ir 0.500 0.500 0.000
Pr 0.847 0.957 0.246
Pr 0.674 0.176 0.926
Pr 0.153 0.043 0.754
Pr 0.335 0.811 0.430
Pr 0.347 0.543 0.746
Pr 0.326 0.824 0.074
Pr 0.835 0.689 0.930
Pr 0.174 0.324 0.426
Pr 0.826 0.676 0.574
Pr 0.653 0.457 0.254
Pr 0.165 0.311 0.070
Pr 0.665 0.189 0.570
Cu 0.439 0.110 0.265
Cu 0.061 0.610 0.235
Cu 0.939 0.390 0.765
Cu 0.561 0.890 0.735

Summary:
- calculated total energy (eV/atom) = -5.2554
- space-group type = P2_1/c (14)
- density of states at the Fermi level (states/eV/cell) = 20.13

=====

The following is a PBE calculation of a relaxed structure of Pr2Cu3Ir, from Alexandria.

Unit cell a=5.809 b=5.809 c=8.334 alpha=108.12 beta=108.12 gamma=96.18
Atoms (fractional coordinates):
Cu 0.166 0.166 0.331
Cu 0.325 0.839 0.164
Cu 0.161 0.675 0.836
Cu 0.675 0.161 0.836
Cu 0.839 0.325 0.164
Cu 0.834 0.834 0.669
Ir 0.662 0.662 0.324
Ir 0.338 0.338 0.676
Pr 0.257 0.257 0.000
Pr 0.250 0.750 0.500
Pr 0.743 0.743 0.000
Pr 0.750 0.250 0.500

Summary:
- calculated total energy (eV/atom) = -5.4250
- space-group type = Fmmm (69)
- density of states at the Fermi level (states/eV/cell) = 6.00

=====

The following is a PBE calculation of a relaxed structure of Pr3Cu4Ir2, from Alexandria.

Unit cell a=4.295 b=5.817 c=8.402 alpha=105.96 beta=90.00 gamma=111.66
Atoms (fractional coordinates):
Pr 0.677 0.353 0.654
Pr 0.000 0.000 0.000
Pr 0.323 0.647 0.346
Cu 0.959 0.918 0.619
Cu 0.041 0.082 0.381
Cu 0.724 0.448 0.055
Cu 0.276 0.552 0.945
Ir 0.392 0.785 0.727
Ir 0.608 0.215 0.273

Summary:
- calculated total energy (eV/atom) = -5.7190
- space-group type = C2/m (12)
- density of states at the Fermi level (states/eV/cell) = 4.58

=====

The following is a PBE calculation of a relaxed structure of Pr2Cu5Ir, from Alexandria.

Unit cell a=4.184 b=8.123 c=8.872 alpha=90.00 beta=90.00 gamma=104.92
Atoms (fractional coordinates):
Cu 0.603 0.207 0.750
Cu 0.343 0.686 0.515
Cu 0.397 0.793 0.250
Cu 0.343 0.686 0.985
Cu 0.183 0.367 0.614
Cu 0.657 0.314 0.015
Cu 0.817 0.633 0.386
Cu 0.817 0.633 0.114
Cu 0.657 0.314 0.485
Cu 0.183 0.367 0.886
Ir 0.559 0.118 0.250
Ir 0.441 0.882 0.750
Pr 0.197 0.393 0.250
Pr 0.000 0.000 0.500
Pr 0.000 0.000 0.000
Pr 0.803 0.607 0.750

Summary:
- calculated total energy (eV/atom) = -5.0661
- space-group type = Cmcm (63)
- density of states at the Fermi level (states/eV/cell) = 8.01

=====

The following is a PBE calculation of a relaxed structure of Pr2Cu5Ir5, from Alexandria.

Unit cell a=4.115 b=5.364 c=9.071 alpha=90.00 beta=90.00 gamma=90.00
Atoms (fractional coordinates):
Cu 0.000 0.500 0.332
Cu 0.000 0.000 0.166
Cu 0.000 0.500 0.668
Cu 0.000 0.000 0.834
Cu 0.500 0.000 0.000
Ir 0.500 0.754 0.248
Ir 0.500 0.246 0.752
Ir 0.500 0.500 0.500
Ir 0.500 0.246 0.248
Ir 0.500 0.754 0.752
Pr 0.000 0.500 0.000
Pr 0.000 0.000 0.500

Summary:
- calculated total energy (eV/atom) = -6.4890
- space-group type = Pmmm (47)
- density of states at the Fermi level (states/eV/cell) = 9.12